1.
{
  "formula": "HfAuC",
  "functional": "GGA-PBE",
  "state": "relaxed",
  "cell": [[3.974, 0.000, 0.000], [0.000, 3.974, 0.000], [0.000, 0.000, 4.164]],
  "species": ["Hf", "Au", "C"],
  "fractional_positions": [[0.000, 0.000, 0.000], [0.500, 0.500, 0.000], [0.000, 0.000, 0.500]],
  "final_energy_ev_per_atom": -6.273
}

2.
{
  "formula": "Hf2AuC",
  "functional": "GGA-PBE",
  "state": "relaxed",
  "cell": [[4.920, -2.841, 0.000], [4.920, 2.841, 0.000], [-3.296, 0.000, 14.216]],
  "species": ["Hf", "Hf", "Hf", "Hf", "Hf", "Hf", "Hf", "Hf", "Hf", "Hf", "Hf", "Hf", "Au", "Au", "Au", "Au", "Au", "Au", "C", "C", "C", "C", "C", "C"],
  "fractional_positions": [[0.030, 0.863, 0.590], [0.137, 0.970, 0.910], [0.197, 0.364, 0.090], [0.303, 0.470, 0.410], [0.364, 0.197, 0.590], [0.470, 0.303, 0.910], [0.530, 0.697, 0.090], [0.636, 0.803, 0.410], [0.697, 0.530, 0.590], [0.803, 0.636, 0.910], [0.863, 0.030, 0.090], [0.970, 0.137, 0.410], [0.084, 0.249, 0.750], [0.249, 0.084, 0.250], [0.416, 0.584, 0.750], [0.584, 0.416, 0.250], [0.751, 0.916, 0.750], [0.916, 0.751, 0.250], [0.000, 0.500, 0.500], [0.167, 0.667, 0.000], [0.333, 0.833, 0.500], [0.500, 0.000, 0.000], [0.667, 0.167, 0.500], [0.833, 0.333, 0.000]],
  "final_energy_ev_per_atom": -8.811
}

3.
{
  "formula": "Hf2AuC",
  "functional": "GGA-PBE",
  "state": "relaxed",
  "cell": [[3.238, 0.000, 0.000], [0.000, 17.296, 0.000], [0.000, 0.000, 4.638]],
  "species": ["Hf", "Hf", "Hf", "Hf", "Hf", "Hf", "Hf", "Hf", "Au", "Au", "Au", "Au", "C", "C", "C", "C"],
  "fractional_positions": [[0.000, 0.106, 0.250], [0.000, 0.289, 0.250], [0.000, 0.711, 0.750], [0.000, 0.894, 0.750], [0.500, 0.211, 0.750], [0.500, 0.394, 0.750], [0.500, 0.606, 0.250], [0.500, 0.789, 0.250], [0.000, 0.454, 0.250], [0.000, 0.546, 0.750], [0.500, 0.046, 0.750], [0.500, 0.954, 0.250], [0.000, 0.303, 0.750], [0.000, 0.697, 0.250], [0.500, 0.197, 0.250], [0.500, 0.803, 0.750]],
  "final_energy_ev_per_atom": -8.869
}

4.
{
  "formula": "Hf2AuC",
  "functional": "GGA-PBE",
  "state": "relaxed",
  "cell": [[3.280, 0.000, 0.000], [-1.640, 2.841, 0.000], [0.000, 0.000, 14.205]],
  "species": ["Hf", "Hf", "Hf", "Hf", "Au", "Au", "C", "C"],
  "fractional_positions": [[0.333, 0.667, 0.090], [0.333, 0.667, 0.410], [0.667, 0.333, 0.590], [0.667, 0.333, 0.910], [0.333, 0.667, 0.750], [0.667, 0.333, 0.250], [0.000, 0.000, 0.000], [0.000, 0.000, 0.500]],
  "final_energy_ev_per_atom": -8.811
}

5.
{
  "formula": "Hf4AuC3",
  "functional": "GGA-PBE",
  "state": "relaxed",
  "cell": [[3.297, 0.000, 0.000], [-1.649, 2.855, 0.000], [0.000, 0.000, 24.737]],
  "species": ["Hf", "Hf", "Hf", "Hf", "Hf", "Hf", "Hf", "Hf", "Au", "Au", "C", "C", "C", "C", "C", "C"],
  "fractional_positions": [[0.000, 0.000, 0.159], [0.000, 0.000, 0.341], [0.000, 0.000, 0.659], [0.000, 0.000, 0.841], [0.333, 0.667, 0.053], [0.333, 0.667, 0.447], [0.667, 0.333, 0.553], [0.667, 0.333, 0.947], [0.333, 0.667, 0.250], [0.667, 0.333, 0.750], [0.000, 0.000, 0.000], [0.000, 0.000, 0.500], [0.333, 0.667, 0.610], [0.333, 0.667, 0.890], [0.667, 0.333, 0.110], [0.667, 0.333, 0.390]],
  "final_energy_ev_per_atom": -9.695
}

6.
{
  "formula": "Hf4InAuC2",
  "functional": "GGA-PBE",
  "state": "relaxed",
  "cell": [[3.304, 0.000, 0.000], [-1.652, 2.861, 0.000], [0.000, 0.000, 14.522]],
  "species": ["Hf", "Hf", "Hf", "Hf", "In", "Au", "C", "C"],
  "fractional_positions": [[0.000, 0.000, 0.156], [0.000, 0.000, 0.844], [0.667, 0.333, 0.328], [0.667, 0.333, 0.672], [0.000, 0.000, 0.500], [0.667, 0.333, 0.000], [0.333, 0.667, 0.244], [0.333, 0.667, 0.756]],
  "final_energy_ev_per_atom": -8.742
}

7.
{
  "formula": "Lu4Hf2Au3C3",
  "functional": "GGA-PBE",
  "state": "relaxed",
  "cell": [[5.200, -3.007, 0.000], [5.200, 3.007, 0.000], [-3.400, 0.000, 14.015]],
  "species": ["Lu", "Lu", "Lu", "Lu", "Lu", "Lu", "Lu", "Lu", "Hf", "Hf", "Hf", "Hf", "Au", "Au", "Au", "Au", "Au", "Au", "C", "C", "C", "C", "C", "C"],
  "fractional_positions": [[0.040, 0.191, 0.100], [0.126, 0.301, 0.400], [0.191, 0.040, 0.600], [0.301, 0.126, 0.900], [0.699, 0.874, 0.100], [0.809, 0.960, 0.400], [0.874, 0.699, 0.600], [0.960, 0.809, 0.900], [0.350, 0.527, 0.082], [0.473, 0.650, 0.418], [0.527, 0.350, 0.582], [0.650, 0.473, 0.918], [0.125, 0.875, 0.250], [0.288, 0.416, 0.750], [0.416, 0.288, 0.250], [0.584, 0.712, 0.750], [0.712, 0.584, 0.250], [0.875, 0.125, 0.750], [0.000, 0.500, 0.000], [0.191, 0.655, 0.500], [0.345, 0.809, 0.000], [0.500, 0.000, 0.500], [0.655, 0.191, 0.000], [0.809, 0.345, 0.500]],
  "final_energy_ev_per_atom": -6.924
}

8.
{
  "formula": "Hf4Mo2Au3C3",
  "functional": "GGA-PBE",
  "state": "relaxed",
  "cell": [[4.845, -2.810, 0.000], [4.845, 2.810, 0.000], [-3.283, 0.000, 13.795]],
  "species": ["Hf", "Hf", "Hf", "Hf", "Hf", "Hf", "Hf", "Hf", "Mo", "Mo", "Mo", "Mo", "Au", "Au", "Au", "Au", "Au", "Au", "C", "C", "C", "C", "C", "C"],
  "fractional_positions": [[0.038, 0.193, 0.096], [0.128, 0.302, 0.404], [0.193, 0.038, 0.596], [0.302, 0.128, 0.904], [0.698, 0.872, 0.096], [0.807, 0.962, 0.404], [0.872, 0.698, 0.596], [0.962, 0.807, 0.904], [0.352, 0.523, 0.071], [0.477, 0.648, 0.429], [0.523, 0.352, 0.571], [0.648, 0.477, 0.929], [0.121, 0.879, 0.250], [0.285, 0.418, 0.751], [0.418, 0.285, 0.251], [0.582, 0.715, 0.749], [0.715, 0.582, 0.249], [0.879, 0.121, 0.750], [0.000, 0.500, 0.000], [0.163, 0.669, 0.500], [0.331, 0.837, 0.000], [0.500, 0.000, 0.500], [0.669, 0.163, 0.000], [0.837, 0.331, 0.500]],
  "final_energy_ev_per_atom": -8.791
}

Number 1: total magnetization 0.000 μB/atom. Number 2: total magnetization 0.002 μB/atom. Number 3: total magnetization 0.002 μB/atom. Number 4: total magnetization 0.001 μB/atom. Number 5: total magnetization 0.003 μB/atom. Number 6: total magnetization 0.002 μB/atom. Number 7: total magnetization 0.001 μB/atom. Number 8: total magnetization 0.000 μB/atom.